Record 1
NaH2RuBr: optimized geometry, PBE-GGA.

abc: 3.6737 3.6737 7.7383
angles: 90.00 90.00 90.00
Atoms (fractional coordinates):
Na  0.0000  0.0000  0.0000
H  0.0000  0.5000  0.5000
H  0.5000  0.0000  0.5000
Ru  0.0000  0.0000  0.5000
Br  0.5000  0.5000  0.0000

Calculated values
E_tot ... -3.536 eV per atom
Size of the total moment ... 2.109 μB/f.u.
Space-group type ... P4/mmm (123)

***

Record 2
SmHoErMg: optimized geometry, PBE-GGA.

abc: 5.5072 5.5072 5.5072
angles: 60.00 60.00 60.00
Atoms (fractional coordinates):
Sm  0.0000  0.0000  0.0000
Ho  0.5000  0.5000  0.5000
Er  0.7500  0.7500  0.7500
Mg  0.2500  0.2500  0.2500

Calculated values
E_tot ... -3.826 eV per atom
Energy relative to the elements ... 38 meV/atom
Size of the total moment ... 0.000 μB/f.u.
Space-group type ... F-43m (216)
Energy relative to the lowest polymorph listed for this composition ... 0.252 eV/f.u.

***

Record 3
ErZnNi4Ge2: optimized geometry, PBE-GGA.

abc: 8.4652 8.4652 8.4652
angles: 27.60 27.60 27.60
Atoms (fractional coordinates):
Er  0.0000  0.0000  0.0000
Zn  0.5000  0.5000  0.5000
Ni  0.1316  0.1316  0.1316
Ni  0.4038  0.4038  0.4038
Ni  0.5962  0.5962  0.5962
Ni  0.8684  0.8684  0.8684
Ge  0.2456  0.2456  0.2456
Ge  0.7544  0.7544  0.7544

Calculated values
E_tot ... -5.175 eV per atom
Energy relative to the elements ... -400 meV/atom
Size of the total moment ... 0.000 μB/f.u.
Space-group type ... R-3m (166)

***

Record 4
LiY2In: optimized geometry, PBE-GGA.

abc: 7.0646 7.0646 7.0646
angles: 152.35 134.10 54.43
Atoms (fractional coordinates):
Li  0.0000  0.0000  0.0000
Y  0.2459  0.2459  0.0000
Y  0.7541  0.7541  0.0000
In  0.5000  0.5000  0.0000

Calculated values
E_tot ... -4.143 eV per atom
Energy relative to the elements ... 252 meV/atom
Size of the total moment ... 0.000 μB/f.u.
Space-group type ... Immm (71)

***

Record 5
KCd2PIr: optimized geometry, PBE-GGA.

abc: 5.2257 5.2257 6.0175
angles: 90.00 90.00 90.00
Atoms (fractional coordinates):
K  0.0000  0.0000  0.0000
Cd  0.0000  0.5000  0.5000
Cd  0.5000  0.0000  0.5000
P  0.5000  0.5000  0.0000
Ir  0.0000  0.0000  0.5000

Calculated values
E_tot ... -2.583 eV per atom
Energy relative to the elements ... 857 meV/atom
Size of the total moment ... 2.607 μB/f.u.
Space-group type ... P4/mmm (123)
Energy relative to the lowest polymorph listed for this composition ... 4.733 eV/f.u.

***

Record 6
YAlTc2: optimized geometry, PBE-GGA.

abc: 8.4706 8.4706 8.4706
angles: 21.43 21.43 21.43
Atoms (fractional coordinates):
Y  0.0000  0.0000  0.0000
Al  0.5000  0.5000  0.5000
Tc  0.2409  0.2409  0.2409
Tc  0.7591  0.7591  0.7591

Calculated values
E_tot ... -7.469 eV per atom
Energy relative to the elements ... 266 meV/atom
Size of the total moment ... 0.000 μB/f.u.
Space-group type ... R-3m (166)

***

Record 7
TbFe5C2: optimized geometry, PBE-GGA.

abc: 5.4998 5.4998 5.4998
angles: 144.50 108.80 82.16
Atoms (fractional coordinates):
Tb  0.0000  0.0000  0.0000
Fe  0.1505  0.3367  0.8137
Fe  0.4770  0.6633  0.8137
Fe  0.5000  0.0000  0.5000
Fe  0.5230  0.3367  0.1863
Fe  0.8495  0.6633  0.1863
C  0.2548  0.7548  0.5000
C  0.7452  0.2452  0.5000

Calculated values
E_tot ... -8.158 eV per atom
Energy relative to the elements ... 16 meV/atom
Size of the total moment ... 8.776 μB/f.u.
Space-group type ... Immm (71)

***

Record 8
NaTiRu2: optimized geometry, PBE-GGA.

abc: 4.4087 4.4087 4.4087
angles: 60.00 60.00 60.00
Atoms (fractional coordinates):
Na  0.0000  0.0000  0.0000
Ti  0.5000  0.5000  0.5000
Ru  0.2500  0.2500  0.2500
Ru  0.7500  0.7500  0.7500

Calculated values
E_tot ... -6.603 eV per atom
Energy relative to the elements ... 339 meV/atom
Size of the total moment ... 0.000 μB/f.u.
Space-group type ... Fm-3m (225)
Energy relative to the lowest polymorph listed for this composition ... 0.000 eV/f.u.

***

Record 9
ZrTiGa3: optimized geometry, PBE-GGA.

abc: 8.8246 6.9425 6.0120
angles: 90.00 90.00 90.00
Atoms (fractional coordinates):
Zr  0.0790  0.2500  0.0523
Zr  0.4210  0.7500  0.5523
Zr  0.5790  0.2500  0.4477
Zr  0.9210  0.7500  0.9477
Ti  0.0000  0.0000  0.5000
Ti  0.0000  0.5000  0.5000
Ti  0.5000  0.0000  0.0000
Ti  0.5000  0.5000  0.0000
Ga  0.1652  0.7500  0.2352
Ga  0.2056  0.5676  0.8354
Ga  0.2056  0.9324  0.8354
Ga  0.2944  0.0676  0.3354
Ga  0.2944  0.4324  0.3354
Ga  0.3348  0.2500  0.7352
Ga  0.6652  0.7500  0.2648
Ga  0.7056  0.5676  0.6646
Ga  0.7056  0.9324  0.6646
Ga  0.7944  0.0676  0.1646
Ga  0.7944  0.4324  0.1646
Ga  0.8348  0.2500  0.7648

Calculated values
E_tot ... -5.336 eV per atom
Energy relative to the elements ... -231 meV/atom
Size of the total moment ... 0.000 μB/f.u.
Space-group type ... Pnma (62)
Energy relative to the lowest polymorph listed for this composition ... 0.000 eV/f.u.

***

Record 10
TlCo2Ge2: optimized geometry, PBE-GGA.

abc: 7.5390 7.5390 2.7690
angles: 90.00 90.00 90.00
Atoms (fractional coordinates):
Tl  0.0000  0.0000  0.0000
Tl  0.5000  0.5000  0.0000
Co  0.1395  0.3605  0.5000
Co  0.3605  0.8605  0.5000
Co  0.6395  0.1395  0.5000
Co  0.8605  0.6395  0.5000
Ge  0.1397  0.6397  0.0000
Ge  0.3603  0.1397  0.0000
Ge  0.6397  0.8603  0.0000
Ge  0.8603  0.3603  0.0000

Calculated values
E_tot ... -4.894 eV per atom
Energy relative to the elements ... 269 meV/atom
Size of the total moment ... 0.000 μB/f.u.
Space-group type ... P4/mbm (127)
Energy relative to the lowest polymorph listed for this composition ... 0.786 eV/f.u.

***

Record 11
Y2OsPd2: optimized geometry, PBE-GGA.

abc: 7.2004 7.2004 3.9306
angles: 90.00 90.00 90.00
Atoms (fractional coordinates):
Y  0.1799  0.3201  0.0000
Y  0.3201  0.8201  0.0000
Y  0.6799  0.1799  0.0000
Y  0.8201  0.6799  0.0000
Os  0.0000  0.0000  0.5000
Os  0.5000  0.5000  0.5000
Pd  0.1300  0.6300  0.5000
Pd  0.3700  0.1300  0.5000
Pd  0.6300  0.8700  0.5000
Pd  0.8700  0.3700  0.5000

Calculated values
E_tot ... -7.277 eV per atom
Energy relative to the elements ... -369 meV/atom
Size of the total moment ... 0.000 μB/f.u.
Space-group type ... P4/mbm (127)

***

Record 12
Cr2RhW: optimized geometry, PBE-GGA.

abc: 4.2700 4.2700 4.2700
angles: 60.00 60.00 60.00
Atoms (fractional coordinates):
Cr  0.2500  0.2500  0.2500
Cr  0.7500  0.7500  0.7500
Rh  0.0000  0.0000  0.0000
W  0.5000  0.5000  0.5000

Calculated values
E_tot ... -9.747 eV per atom
Energy relative to the elements ... 140 meV/atom
Size of the total moment ... 3.080 μB/f.u.
Space-group type ... Fm-3m (225)
Energy relative to the lowest polymorph listed for this composition ... 0.391 eV/f.u.

***

Record 13
KBSI2: optimized geometry, PBE-GGA.

abc: 6.5959 6.5959 5.8624
angles: 90.00 90.00 90.00
Atoms (fractional coordinates):
K  0.0000  0.0000  0.0000
B  0.5000  0.5000  0.5000
S  0.0000  0.0000  0.5000
I  0.0000  0.5000  0.0000
I  0.5000  0.0000  0.0000

Calculated values
E_tot ... -1.771 eV per atom
Formation energy (no corrections) ... 1.229 eV/atom
Size of the total moment ... 2.000 μB/f.u.
Space-group type ... P4/mmm (123)